VASP calculation (GGA+U) on a relaxed ZrTl2VF crystal.

V: 102 Å³/cell
total energy: -4.3966 eV/atom
crystal system: tetragonal

```
data_ZrTl2VF
_chemical_formula_sum 'Zr1 Tl2 V1 F1'
_symmetry_space_group_name_H-M 'P 4/m m m'
_symmetry_Int_Tables_number 123
_symmetry_space_group_name_Hall '-P 4 2'
_cell_length_a 5.1029
_cell_length_b 5.1029
_cell_length_c 3.9247
_cell_angle_alpha 90.00
_cell_angle_beta 90.00
_cell_angle_gamma 90.00
loop_
_atom_site_label
_atom_site_fract_x
_atom_site_fract_y
_atom_site_fract_z
Zr1 0.0000 0.0000 0.0000
Tl1 0.0000 0.5000 0.5000
V1 0.5000 0.5000 0.0000
F1 0.5000 0.5000 0.5000
```